First-principles (GGA+U) data for ScV3F after structural relaxation, as listed in Alexandria.

Cell: 4.516 4.516 4.516 Å, 90.00 90.00 90.00°
Positions (direct):
Sc 0.000 0.000 0.000
V 0.000 0.500 0.500
V 0.500 0.000 0.500
V 0.500 0.500 0.000
F 0.500 0.500 0.500

The calculation puts the excess energy over the best structure of this formula in the dataset at 0.000 eV/atom. Its density of states at the Fermi level is 4.0 states/eV/f.u. The density comes out at 3909 kg/m³.